{"formula": "CeDyCoNi", "functional": "PBE", "state": "relaxed", "volume_a3_per_atom": 19.20, "dos_ef_per_ev_cell": 6.51, "dft_energy_ev_per_atom": -6.059, "space_group": "No. 216", "lattice": [[-3.698, 1.430, 2.653], [-4.389, -1.599, -0.967], [-2.131, -3.065, 2.971]], "species": ["Ni", "Co", "Ce", "Dy"], "fractional_positions": [[0.250, 0.250, 0.250], [0.750, 0.750, 0.750], [0.500, 0.500, 0.500], [0.000, 0.000, 0.000]]}